Crystalline InSb2Ir at its relaxed geometry. Source: Alexandria via LeMat-Bulk, functional GGA-PBE.

Values from the calculation:
Total DFT energy (no corrections): -19.65 eV per cell
Spin magnetization: 0.0 μB/f.u.
N(E_F): 2.21 states/eV/cell

Lattice parameters (Å, degrees): 3.2808 3.3816 8.4290 90.00 90.00 90.00
With the nearest neighbours (Å) after each atom.
Space group Pmmm (No. 47)
One atom of each set of equivalent atoms:
In (0.0000, 0.0000, 0.0000)  4 In 3.28-3.38, 8 Sb 3.50
Sb (0.5000, 0.5000, 0.3079)  4 Ir 2.86
Ir (0.0000, 0.0000, 0.5000)  8 Sb 2.86